No. 1
Compound: KNaLa2Hg
Source: Alexandria
Functional: GGA-PBE
Structure: optimized geometry

Cell lengths 6.094, 6.094, 5.050 Å; angles 90.00, 90.00, 90.00 degrees
Space group P4/mmm (No. 123)
Inequivalent atoms, fractional coordinates:
K: 0.000 0.000 0.000 (multiplicity 1)
Na: 0.000 0.000 0.500 (multiplicity 1)
La: 0.000 0.500 0.000 (multiplicity 2)
Hg: 0.500 0.500 0.500 (multiplicity 1)

Calculated total energy   -1.6095 eV/atom
Density of states at the Fermi level   1.305 states/eV/atom
Theoretical density   4.8 g/cm³

=====

No. 2
Compound: Ca2LaNi
Source: Alexandria
Functional: GGA-PBE
Structure: optimized geometry

Cell lengths 7.602, 7.602, 7.602 Å; angles 90.00, 90.00, 90.00 degrees
Space group Fm-3m (No. 225)
Inequivalent atoms, fractional coordinates:
Ca: 0.250 0.250 0.250 (multiplicity 8)
La: 0.000 0.000 0.000 (multiplicity 4)
Ni: 0.000 0.000 0.500 (multiplicity 4)

Calculated total energy   -3.3323 eV/atom
Density of states at the Fermi level   0.908 states/eV/atom
Theoretical density   4.2 g/cm³
Energy above the most stable polymorph in this dataset   0.466 eV per atom

=====

No. 3
Compound: SrAl2Cu
Source: Alexandria
Functional: GGA-PBE
Structure: optimized geometry

Cell lengths 4.859, 4.859, 6.913 Å; angles 90.00, 90.00, 90.00 degrees
Space group I-4m2 (No. 119)
Inequivalent atoms, fractional coordinates:
Sr: 0.000 0.000 0.000 (multiplicity 2)
Al: 0.000 0.000 0.500 (multiplicity 2)
Al: 0.000 0.500 0.750 (multiplicity 2)
Cu: 0.000 0.500 0.250 (multiplicity 2)

Calculated total energy   -3.2786 eV/atom
Density of states at the Fermi level   0.404 states/eV/atom
Theoretical density   4.2 g/cm³

=====

No. 4
Compound: TaV2P
Source: Alexandria
Functional: GGA-PBE
Structure: optimized geometry

Cell lengths 6.030, 6.030, 6.030 Å; angles 90.00, 90.00, 90.00 degrees
Space group Fm-3m (No. 225)
Inequivalent atoms, fractional coordinates:
Ta: 0.000 0.000 0.000 (multiplicity 4)
V: 0.250 0.250 0.250 (multiplicity 8)
P: 0.000 0.000 0.500 (multiplicity 4)

Calculated total energy   -9.0098 eV/atom
Density of states at the Fermi level   1.119 states/eV/atom
Theoretical density   9.5 g/cm³
Energy above the most stable polymorph in this dataset   0.560 eV per atom